ScBeBr2: optimized geometry, PBE-GGA.

Calculated values
uncorrected formation energy: 0.27 eV per atom
energy relative to the lowest polymorph listed for this composition: 866.2 meV/atom
Fermi-level density of states: 4.62 states/eV/f.u.
symmetry: F-43m, No. 216
electronic total energy: -3.0853 eV per atom
calculated volume: 90.3 Å³ per cell

Unit cell a=5.0363 b=5.0363 c=5.0363 alpha=60.00 beta=60.00 gamma=60.00
With the nearest neighbours (Å) after each atom.
Sites, in units of the cell vectors:
Be (0.5000, 0.5000, 0.5000)  4 Br 3.08, 4 Sc 3.08
Sc (0.7500, 0.7500, 0.7500)  4 Br 3.08, 4 Be 3.08
Br (0.2500, 0.2500, 0.2500)  4 Br 3.08, 4 Be 3.08
Br (0.0000, 0.0000, 0.0000)  4 Br 3.08, 4 Sc 3.08

=====

Sc2BeBr: optimized geometry, PBE-GGA.

Calculated values
uncorrected formation energy: -0.39 eV per atom
energy relative to the lowest polymorph listed for this composition: 42.5 meV/atom
Fermi-level density of states: 2.86 states/eV/f.u.
symmetry: Pmmm, No. 47
electronic total energy: -4.9020 eV per atom
calculated volume: 82.9 Å³ per cell

Unit cell a=3.2480 b=3.3369 c=7.6454 alpha=89.97 beta=90.00 gamma=90.00
With the nearest neighbours (Å) after each atom.
Sites, in units of the cell vectors:
Be (0.5000, 0.2500, 0.2500)  8 Sc 2.77
Sc (0.0000, 0.7494, 0.4458)  4 Be 2.77, 2 Br 2.84, 1 Sc 2.99
Br (0.5000, 0.7500, 0.7500)  4 Sc 2.84
Sc (0.0000, 0.7506, 0.0542)  4 Be 2.77, 2 Br 2.84, 1 Sc 2.99

=====

Sc2BeBr: optimized geometry, PBE-GGA.

Calculated values
uncorrected formation energy: -0.02 eV per atom
energy relative to the lowest polymorph listed for this composition: 409.2 meV/atom
Fermi-level density of states: 3.96 states/eV/f.u.
symmetry: Fm-3m, No. 225
electronic total energy: -4.5353 eV per atom
calculated volume: 76.4 Å³ per cell

Unit cell a=4.7633 b=4.7633 c=4.7633 alpha=60.00 beta=60.00 gamma=60.00
With the nearest neighbours (Å) after each atom.
Sites, in units of the cell vectors:
Be (0.0000, 0.0000, 0.0000)  8 Sc 2.92
Sc (0.2500, 0.2500, 0.2500)  4 Br 2.92, 4 Be 2.92
Sc (0.7500, 0.7500, 0.7500)  4 Br 2.92, 4 Be 2.92
Br (0.5000, 0.5000, 0.5000)  8 Sc 2.92

=====

Sc4BeBr5: optimized geometry, PBE-GGA.

Calculated values
uncorrected formation energy: -1.17 eV per atom
Fermi-level density of states: 3.94 states/eV/f.u.
symmetry: C2/m, No. 12
electronic total energy: -4.9166 eV per atom
calculated volume: 248.6 Å³ per cell

Unit cell a=3.6825 b=7.9547 c=8.8907 alpha=102.38 beta=101.95 gamma=90.00
With the nearest neighbours (Å) after each atom.
Sites, in units of the cell vectors:
Br (0.1649, 0.3323, 0.3297)  3 Sc 2.72-2.80
Sc (0.0005, 0.2174, 0.0011)  2 Be 2.52, 1 Br 2.80
Be (0.5000, 0.0000, 0.0000)  6 Sc 2.43-2.52
Br (0.1720, 0.8364, 0.3441)  3 Sc 2.76-2.94
Br (0.8351, 0.6677, 0.6703)  3 Sc 2.72-2.80
Sc (0.9995, 0.7826, 0.9989)  2 Be 2.52, 1 Br 2.80
Br (0.8280, 0.1636, 0.6559)  3 Sc 2.76-2.94
Sc (0.3569, 0.9258, 0.7138)  1 Be 2.43
Sc (0.6431, 0.0742, 0.2862)  1 Be 2.43
Br (0.5000, 0.5000, 0.0000)  4 Sc 2.91

=====

ScBe2Br: optimized geometry, PBE-GGA.

Calculated values
uncorrected formation energy: 0.45 eV per atom
energy relative to the lowest polymorph listed for this composition: 601.7 meV/atom
Fermi-level density of states: 2.29 states/eV/f.u.
symmetry: Cmmm, No. 65
electronic total energy: -3.4092 eV per atom
calculated volume: 70.3 Å³ per cell

Unit cell a=3.2022 b=3.2022 c=7.0857 alpha=90.00 beta=90.00 gamma=104.78
With the nearest neighbours (Å) after each atom.
Sites, in units of the cell vectors:
Be (0.0000, 0.0000, 0.5022)  2 Sc 2.63, 2 Br 2.65
Br (0.5000, 0.5000, 0.2500)  4 Be 2.65
Be (0.0000, 0.0000, 0.9978)  2 Sc 2.63, 2 Br 2.65
Sc (0.5000, 0.5000, 0.7500)  4 Be 2.63

=====

Sc2BeBr: optimized geometry, PBE-GGA.

Calculated values
uncorrected formation energy: -0.10 eV per atom
energy relative to the lowest polymorph listed for this composition: 332.7 meV/atom
Fermi-level density of states: 4.74 states/eV/f.u.
symmetry: P4/mmm, No. 123
electronic total energy: -4.6118 eV per atom
calculated volume: 76.8 Å³ per cell

Unit cell a=4.9394 b=4.9428 c=3.1456 alpha=90.00 beta=90.00 gamma=90.00
With the nearest neighbours (Å) after each atom.
Sites, in units of the cell vectors:
Sc (0.5000, 0.5000, 0.0000)  4 Br 2.93, 4 Be 2.93, 2 Sc 3.15
Be (0.5000, 0.0000, 0.5000)  8 Sc 2.93, 2 Be 3.15
Br (0.0000, 0.5000, 0.5000)  8 Sc 2.93, 2 Br 3.15
Sc (0.0000, 0.0000, 0.0000)  4 Be 2.93, 4 Br 2.93, 2 Sc 3.15

=====

ScBeBr2: optimized geometry, PBE-GGA.

Calculated values
uncorrected formation energy: -0.30 eV per atom
energy relative to the lowest polymorph listed for this composition: 298.0 meV/atom
Fermi-level density of states: 2.77 states/eV/f.u.
symmetry: R-3m, No. 166
electronic total energy: -3.6535 eV per atom
calculated volume: 113.1 Å³ per cell

Unit cell a=10.1908 b=10.1908 c=10.1908 alpha=20.46 beta=20.46 gamma=20.46
With the nearest neighbours (Å) after each atom.
Sites, in units of the cell vectors:
Be (0.7500, 0.7500, 0.7500)  6 Be 3.62, 6 Br 3.86
Br (0.5253, 0.5253, 0.5253)  3 Sc 2.72
Br (0.9747, 0.9747, 0.9747)  3 Sc 2.72
Sc (0.2500, 0.2500, 0.2500)  6 Br 2.72

=====

ScBe2Br: optimized geometry, PBE-GGA.

Calculated values
uncorrected formation energy: 0.31 eV per atom
energy relative to the lowest polymorph listed for this composition: 456.5 meV/atom
Fermi-level density of states: 1.13 states/eV/f.u.
symmetry: Immm, No. 71
electronic total energy: -3.5544 eV per atom
calculated volume: 64.6 Å³ per cell

Unit cell a=5.4977 b=5.4977 c=4.0436 alpha=68.46 beta=68.46 gamma=34.96
With the nearest neighbours (Å) after each atom.
Sites, in units of the cell vectors:
Br (0.7500, 0.7500, 0.7500)  4 Sc 2.61, 4 Be 2.91
Be (0.0023, 0.0023, 0.9976)  4 Be 2.61, 2 Br 2.91
Sc (0.2500, 0.2500, 0.2500)  4 Br 2.61
Be (0.4977, 0.4977, 0.5024)  4 Be 2.61, 2 Br 2.91